Computed, not measured: an optimized crystal structure of CaNiF4 at the PBE+U level of DFT.

Cell: 5.3228 5.3949 6.7327 Å, 118.30 113.29 90.00°
Positions (direct):
Ni  0.0024  0.4996  0.9974
Ni  0.5030  0.0014  0.9988
Ca  0.2443  0.2506  0.4981
Ca  0.7592  0.7506  0.4981
F  0.8990  0.3597  0.2036
F  0.6776  0.2087  0.7135
F  0.1037  0.6403  0.7912
F  0.1936  0.1416  0.7926
F  0.3258  0.7919  0.2820
F  0.4619  0.2924  0.2826
F  0.8106  0.8609  0.2051
F  0.5419  0.7093  0.7142

## Properties
E_tot = -0.3678 Ry/atom
N(E_F) = 0.000 states/eV per atom
total magnetization = 3.99 μB per cell